Entry 1:
Here is crystalline Co2Au at its relaxed geometry from the Alexandria database. Energies are from PBE.

## Properties
Magnetization (μB per formula unit): 3.6
DOS at the Fermi energy (states/eV/cell): 6.14
Symmetry: Cm (8)
Energy of formation (eV/atom): 0.254

Unit cell a=5.0837 b=5.0837 c=6.2655 alpha=76.16 beta=76.16 gamma=31.33
Closest atoms and distances in Å follow each position.
Element x y z (fractional)
Co 0.6057 0.6057 0.2966  5 Co 2.54-2.75, 5 Au 2.62-2.70
Co 0.9537 0.9537 0.6110  9 Co 2.55-2.78, 3 Au 2.59-2.69
Co 0.6631 0.6631 0.6700  8 Co 2.52-2.78, 4 Au 2.61-2.62
Co 0.2818 0.2818 0.9098  6 Co 2.52-2.75, 3 Au 2.62-2.75
Au 0.0057 0.0057 0.9970  8 Co 2.59-2.75, 4 Au 2.75-2.82
Au 0.3233 0.3233 0.3489  8 Co 2.61-2.88, 4 Au 2.75-2.82



Entry 2:
Here is crystalline Co4Au at its relaxed geometry from the Alexandria database. Energies are from PBE.

## Properties
Magnetization (μB per formula unit): 7.8
Energy above the lowest structure with this stoichiometry (meV/atom): 1137.7
DOS at the Fermi energy (states/eV/cell): 13.07
Symmetry: Im-3m (229)
Energy of formation (eV/atom): 1.277

Unit cell a=4.8452 b=4.8452 c=4.8452 alpha=109.47 beta=109.47 gamma=109.47
Closest atoms and distances in Å follow each position.
Element x y z (fractional)
Co 0.5000 0.0000 0.0000  2 Au 2.42
Co 0.5000 0.5000 0.5000  2 Au 2.42
Co 0.0000 0.5000 0.0000  2 Au 2.42
Co 0.0000 0.0000 0.5000  2 Au 2.42
Au 0.0000 0.0000 0.0000  8 Co 2.42



Entry 3:
Here is crystalline Co2Au at its relaxed geometry from the Alexandria database. Energies are from PBE.

## Properties
Magnetization (μB per formula unit): 3.6
DOS at the Fermi energy (states/eV/cell): 5.83
Symmetry: I4_1/amd (141)
Energy of formation (eV/atom): 0.490

Unit cell a=7.6955 b=7.6955 c=7.6955 alpha=153.88 beta=153.88 gamma=37.27
Closest atoms and distances in Å follow each position.
Element x y z (fractional)
Co 0.4212 0.4212 0.0000  3 Co 2.20-2.30
Co 0.5788 0.5788 0.0000  3 Co 2.20-2.30
Co 0.1712 0.6712 0.5000  3 Co 2.20-2.30
Co 0.3288 0.8288 0.5000  3 Co 2.20-2.30
Au 0.7500 0.2500 0.5000  8 Co 2.71
Au 0.0000 0.0000 0.0000  8 Co 2.71



Entry 4:
Here is crystalline CoAu at its relaxed geometry from the Alexandria database. Energies are from PBE.

## Properties
Magnetization (μB per formula unit): 2.1
DOS at the Fermi energy (states/eV/cell): 5.85
Symmetry: Fm-3m (225)
Energy of formation (eV/atom): 0.741

Unit cell a=3.6344 b=3.6344 c=3.6344 alpha=60.00 beta=60.00 gamma=60.00
Closest atoms and distances in Å follow each position.
Element x y z (fractional)
Au 0.0000 0.0000 0.0000  6 Co 2.57
Co 0.5000 0.5000 0.5000  6 Au 2.57



Entry 5:
Here is crystalline CoAu4 at its relaxed geometry from the Alexandria database. Energies are from PBE.

## Properties
Magnetization (μB per formula unit): 1.9
Energy above the lowest structure with this stoichiometry (meV/atom): 0.2
DOS at the Fermi energy (states/eV/cell): 5.94
Symmetry: I4/m (87)
Energy of formation (eV/atom): 0.167

Unit cell a=4.9901 b=4.9901 c=4.9901 alpha=99.44 beta=99.44 gamma=132.22
Closest atoms and distances in Å follow each position.
Element x y z (fractional)
Co 0.0000 0.0000 0.0000  12 Au 2.85-2.89
Au 0.3972 0.2056 0.6028  9 Au 2.83-2.97, 3 Co 2.85-2.89
Au 0.6028 0.7944 0.3972  9 Au 2.83-2.97, 3 Co 2.85-2.89
Au 0.7944 0.3972 0.1917  9 Au 2.83-2.97, 3 Co 2.85-2.89
Au 0.2056 0.6028 0.8083  9 Au 2.83-2.97, 3 Co 2.85-2.89



Entry 6:
Here is crystalline CoAu at its relaxed geometry from the Alexandria database. Energies are from PBE.

## Properties
Magnetization (μB per formula unit): 1.8
DOS at the Fermi energy (states/eV/cell): 5.39
Symmetry: P6_3/mmc (194)
Energy of formation (eV/atom): 0.343

Unit cell a=2.7922 b=2.7922 c=8.8131 alpha=90.00 beta=90.00 gamma=120.00
Closest atoms and distances in Å follow each position.
Element x y z (fractional)
Au 0.0000 0.0000 0.0000  6 Co 2.73, 6 Au 2.79
Au 0.0000 0.0000 0.5000  6 Co 2.73, 6 Au 2.79
Co 0.3333 0.6667 0.2500  6 Au 2.73, 6 Co 2.79
Co 0.6667 0.3333 0.7500  6 Au 2.73, 6 Co 2.79



Entry 7:
Here is crystalline CoAu at its relaxed geometry from the Alexandria database. Energies are from PBE.

## Properties
Magnetization (μB per formula unit): 1.9
DOS at the Fermi energy (states/eV/cell): 11.15
Symmetry: P6_3/m (176)
Energy of formation (eV/atom): 0.389

Unit cell a=10.2567 b=10.2567 c=2.7200 alpha=90.00 beta=90.00 gamma=120.00
Closest atoms and distances in Å follow each position.
Element x y z (fractional)
Co 0.1260 0.9136 0.2500  4 Co 2.33
Co 0.2124 0.1260 0.7500  4 Co 2.33
Co 0.0864 0.2124 0.2500  4 Co 2.33
Co 0.8740 0.0864 0.7500  4 Co 2.33
Co 0.7876 0.8740 0.2500  4 Co 2.33
Co 0.9136 0.7876 0.7500  4 Co 2.33
Au 0.9873 0.6119 0.2500  3 Co 2.65-2.68, 4 Au 2.72-2.79
Au 0.3754 0.9873 0.7500  3 Co 2.65-2.68, 4 Au 2.72-2.79
Au 0.3881 0.3754 0.2500  3 Co 2.65-2.68, 4 Au 2.72-2.79
Au 0.0127 0.3881 0.7500  3 Co 2.65-2.68, 4 Au 2.72-2.79
Au 0.6246 0.0127 0.2500  3 Co 2.65-2.68, 4 Au 2.72-2.79
Au 0.6119 0.6246 0.7500  3 Co 2.65-2.68, 4 Au 2.72-2.79



Entry 8:
Here is crystalline CoAu3 at its relaxed geometry from the Alexandria database. Energies are from PBE.

## Properties
Magnetization (μB per formula unit): 1.9
DOS at the Fermi energy (states/eV/cell): 13.00
Symmetry: Pm-3n (223)
Energy of formation (eV/atom): 0.356

Unit cell a=5.1588 b=5.1588 c=5.1588 alpha=90.00 beta=90.00 gamma=90.00
Closest atoms and distances in Å follow each position.
Element x y z (fractional)
Co 0.0000 0.0000 0.0000  12 Au 2.88
Co 0.5000 0.5000 0.5000  12 Au 2.88
Au 0.0000 0.2500 0.5000  2 Au 2.58, 4 Co 2.88
Au 0.0000 0.7500 0.5000  2 Au 2.58, 4 Co 2.88
Au 0.2500 0.5000 0.0000  2 Au 2.58, 4 Co 2.88
Au 0.5000 0.0000 0.2500  2 Au 2.58, 4 Co 2.88
Au 0.5000 0.0000 0.7500  2 Au 2.58, 4 Co 2.88
Au 0.7500 0.5000 0.0000  2 Au 2.58, 4 Co 2.88



Entry 9:
Here is crystalline Co3Au5 at its relaxed geometry from the Alexandria database. Energies are from PBE.

## Properties
Magnetization (μB per formula unit): 5.6
Energy above the lowest structure with this stoichiometry (meV/atom): 20.9
DOS at the Fermi energy (states/eV/cell): 16.32
Symmetry: P-1 (2)
Energy of formation (eV/atom): 0.276

Unit cell a=7.2225 b=6.7710 c=8.3901 alpha=89.99 beta=95.84 gamma=140.17
Closest atoms and distances in Å follow each position.
Element x y z (fractional)
Co 0.0706 0.2195 0.4988  1 Co 2.28
Co 0.2920 0.2167 0.0412  3 Co 2.49-2.69, 5 Au 2.68-2.75
Co 0.4278 0.9805 0.1175  2 Co 2.24-2.49
Co 0.5731 0.0203 0.8833  2 Co 2.24-2.49
Co 0.7089 0.7842 0.9597  3 Co 2.49-2.69, 5 Au 2.68-2.75
Co 0.9302 0.7813 0.5021  1 Co 2.28
Au 0.9990 0.6812 0.8662  5 Co 2.68-2.91, 5 Au 2.77-2.92
Au 0.3938 0.2338 0.3602  5 Co 2.65-2.81, 5 Au 2.79-2.94
Au 0.2351 0.7135 0.4179  3 Co 2.67-2.90, 7 Au 2.77-2.88
Au 0.1365 0.3776 0.8248  6 Co 2.68-2.93, 6 Au 2.79-2.94
Au 0.3973 0.2337 0.7327  5 Co 2.70-2.97, 5 Au 2.77-2.86
Au 0.6035 0.7671 0.2682  5 Co 2.70-2.97, 5 Au 2.77-2.86
Au 0.8643 0.6233 0.1761  6 Co 2.68-2.93, 6 Au 2.79-2.94
Au 0.7657 0.2873 0.5829  3 Co 2.67-2.90, 7 Au 2.77-2.88
Au 0.6070 0.7670 0.6406  5 Co 2.65-2.81, 5 Au 2.79-2.94
Au 0.0018 0.3196 0.1346  5 Co 2.68-2.91, 5 Au 2.77-2.92



Entry 10:
Here is crystalline CrCoAu2 at its relaxed geometry from the Alexandria database. Energies are from PBE.

## Properties
Magnetization (μB per formula unit): 0.1
Energy above the lowest structure with this stoichiometry (meV/atom): 114.8
DOS at the Fermi energy (states/eV/cell): 2.86
Symmetry: R3m (160)
Energy of formation (eV/atom): 0.308

Unit cell a=9.3153 b=9.3153 c=9.3153 alpha=16.90 beta=16.90 gamma=16.90
Closest atoms and distances in Å follow each position.
Element x y z (fractional)
Au 0.0076 0.0076 0.0076  6 Au 2.74, 3 Cr 2.84
Au 0.2420 0.2420 0.2420  6 Au 2.74, 3 Co 2.82
Co 0.4905 0.4905 0.4905  3 Cr 2.37
Cr 0.7599 0.7599 0.7599  3 Co 2.37



Entry 11:
Here is crystalline CrCoAu at its relaxed geometry from the Alexandria database. Energies are from PBE.

## Properties
Magnetization (μB per formula unit): 2.4
Energy above the lowest structure with this stoichiometry (meV/atom): 320.9
DOS at the Fermi energy (states/eV/cell): 4.85
Symmetry: F-43m (216)
Energy of formation (eV/atom): 0.564

Unit cell a=4.1234 b=4.1234 c=4.1234 alpha=60.00 beta=60.00 gamma=60.00
Closest atoms and distances in Å follow each position.
Element x y z (fractional)
Au 0.5000 0.5000 0.5000  4 Co 2.53
Co 0.7500 0.7500 0.7500  4 Au 2.53, 4 Cr 2.53
Cr 0.0000 0.0000 0.0000  4 Co 2.53



Entry 12:
Here is crystalline CrCoAu at its relaxed geometry from the Alexandria database. Energies are from PBE.

## Properties
Magnetization (μB per formula unit): 0.0
Energy above the lowest structure with this stoichiometry (meV/atom): 137.9
DOS at the Fermi energy (states/eV/cell): 3.68
Symmetry: P3m1 (156)
Energy of formation (eV/atom): 0.381

Unit cell a=4.1187 b=4.1187 c=2.7312 alpha=90.00 beta=90.00 gamma=120.00
Closest atoms and distances in Å follow each position.
Element x y z (fractional)
Au 0.0000 0.0000 0.0002  2 Au 2.73, 6 Co 2.74, 6 Cr 2.74
Co 0.6667 0.3333 0.4983  3 Cr 2.38
Cr 0.3333 0.6667 0.5015  3 Co 2.38



Entry 13:
Here is crystalline CrCoAu2 at its relaxed geometry from the Alexandria database. Energies are from PBE.

## Properties
Magnetization (μB per formula unit): 4.9
Energy above the lowest structure with this stoichiometry (meV/atom): 168.3
DOS at the Fermi energy (states/eV/cell): 8.48
Symmetry: F-43m (216)
Energy of formation (eV/atom): 0.361

Unit cell a=4.4547 b=4.4547 c=4.4547 alpha=60.00 beta=60.00 gamma=60.00
Closest atoms and distances in Å follow each position.
Element x y z (fractional)
Au 0.0000 0.0000 0.0000  4 Cr 2.73, 4 Au 2.73
Au 0.2500 0.2500 0.2500  4 Co 2.73, 4 Au 2.73
Co 0.5000 0.5000 0.5000  4 Cr 2.73, 4 Au 2.73
Cr 0.7500 0.7500 0.7500  4 Co 2.73, 4 Au 2.73



Entry 14:
Here is crystalline Cr4CoAu at its relaxed geometry from the Alexandria database. Energies are from PBE.

## Properties
Magnetization (μB per formula unit): 1.2
DOS at the Fermi energy (states/eV/cell): 5.51
Symmetry: F-43m (216)
Energy of formation (eV/atom): 0.301

Unit cell a=4.7509 b=4.7509 c=4.7509 alpha=60.00 beta=60.00 gamma=60.00
Closest atoms and distances in Å follow each position.
Element x y z (fractional)
Cr 0.6256 0.6256 0.1234  6 Cr 2.37-2.39
Cr 0.6256 0.1234 0.6256  6 Cr 2.37-2.39
Cr 0.6256 0.6256 0.6256  6 Cr 2.37-2.39
Cr 0.1234 0.6256 0.6256  6 Cr 2.37-2.39
Co 0.0000 0.0000 0.0000  12 Cr 2.78, 4 Au 2.91
Au 0.2500 0.2500 0.2500  12 Cr 2.79, 4 Co 2.91



Entry 15:
Here is crystalline CrCoAu2 at its relaxed geometry from the Alexandria database. Energies are from PBE.

## Properties
Magnetization (μB per formula unit): 5.4
Energy above the lowest structure with this stoichiometry (meV/atom): 64.1
DOS at the Fermi energy (states/eV/cell): 4.96
Symmetry: P4/mmm (123)
Energy of formation (eV/atom): 0.257

Unit cell a=4.1199 b=4.1192 c=3.6715 alpha=90.00 beta=90.00 gamma=90.00
Closest atoms and distances in Å follow each position.
Element x y z (fractional)
Au 0.0000 0.0000 0.0000  4 Cr 2.76, 4 Co 2.76, 4 Au 2.91
Au 0.5000 0.5000 0.0000  4 Co 2.76, 4 Cr 2.76, 4 Au 2.91
Co 0.5000 0.0000 0.5000  8 Au 2.76, 4 Cr 2.91
Cr 0.0000 0.5000 0.5000  8 Au 2.76, 4 Co 2.91



Entry 16:
Here is crystalline CrCo4Au at its relaxed geometry from the Alexandria database. Energies are from PBE.

## Properties
Magnetization (μB per formula unit): 3.1
DOS at the Fermi energy (states/eV/cell): 10.02
Symmetry: F-43m (216)
Energy of formation (eV/atom): 0.192

Unit cell a=4.7586 b=4.7586 c=4.7586 alpha=60.00 beta=60.00 gamma=60.00
Closest atoms and distances in Å follow each position.
Element x y z (fractional)
Cr 0.7500 0.7500 0.7500  12 Co 2.79, 4 Au 2.91
Co 0.8745 0.3752 0.3752  6 Co 2.38
Co 0.3752 0.3752 0.3752  6 Co 2.38
Co 0.3752 0.3752 0.8745  6 Co 2.38
Co 0.3752 0.8745 0.3752  6 Co 2.38
Au 0.0000 0.0000 0.0000  12 Co 2.79, 4 Cr 2.91



Entry 17:
Here is crystalline CrCo3Au at its relaxed geometry from the Alexandria database. Energies are from PBE.

## Properties
Magnetization (μB per formula unit): 0.7
Energy above the lowest structure with this stoichiometry (meV/atom): 0.0
DOS at the Fermi energy (states/eV/cell): 7.16
Symmetry: Pm-3m (221)
Energy of formation (eV/atom): 1.094

Unit cell a=4.1738 b=4.1738 c=4.1738 alpha=90.00 beta=90.00 gamma=90.00
Closest atoms and distances in Å follow each position.
Element x y z (fractional)
Co 0.0000 0.5000 0.0000  2 Cr 2.09
Co 0.0000 0.0000 0.5000  2 Cr 2.09
Co 0.5000 0.0000 0.0000  2 Cr 2.09
Au 0.5000 0.5000 0.5000  12 Co 2.95
Cr 0.0000 0.0000 0.0000  6 Co 2.09



Entry 18:
Here is crystalline CrCoAu at its relaxed geometry from the Alexandria database. Energies are from PBE.

## Properties
Magnetization (μB per formula unit): 1.3
Energy above the lowest structure with this stoichiometry (meV/atom): 0.0
DOS at the Fermi energy (states/eV/cell): 2.93
Symmetry: Imm2 (44)
Energy of formation (eV/atom): 0.243

Unit cell a=4.8436 b=4.8436 c=4.8436 alpha=146.00 beta=138.82 gamma=54.43
Closest atoms and distances in Å follow each position.
Element x y z (fractional)
Au 0.9996 0.9996 0.0000  5 Cr 2.69-2.74, 5 Co 2.70-2.74, 2 Au 2.83
Co 0.3133 0.3133 0.0000  4 Cr 2.47, 5 Au 2.70-2.74
Cr 0.6870 0.6870 0.0000  4 Co 2.47, 5 Au 2.69-2.74



Entry 19:
Here is crystalline CrCoAu2 at its relaxed geometry from the Alexandria database. Energies are from PBE.

## Properties
Magnetization (μB per formula unit): 5.6
Energy above the lowest structure with this stoichiometry (meV/atom): 62.9
DOS at the Fermi energy (states/eV/cell): 4.31
Symmetry: Cmmm (65)
Energy of formation (eV/atom): 0.256

Unit cell a=4.6625 b=4.6625 c=2.9609 alpha=90.00 beta=90.00 gamma=102.70
Closest atoms and distances in Å follow each position.
Element x y z (fractional)
Au 0.0000 0.0000 0.0000  4 Co 2.76, 4 Cr 2.76, 4 Au 2.91-2.96
Au 0.5000 0.5000 0.0000  4 Cr 2.76, 4 Co 2.76, 4 Au 2.91-2.96
Co 0.5000 0.0000 0.5000  8 Au 2.76, 2 Cr 2.91, 2 Co 2.96
Cr 0.0000 0.5000 0.5000  8 Au 2.76, 2 Co 2.91, 2 Cr 2.96



Entry 20:
Here is crystalline CrCoAu2 at its relaxed geometry from the Alexandria database. Energies are from PBE.

## Properties
Magnetization (μB per formula unit): 5.4
Energy above the lowest structure with this stoichiometry (meV/atom): 99.5
DOS at the Fermi energy (states/eV/cell): 7.52
Symmetry: Pmmm (47)
Energy of formation (eV/atom): 0.292

Unit cell a=3.7342 b=2.9254 c=6.4341 alpha=62.90 beta=90.00 gamma=90.00
Closest atoms and distances in Å follow each position.
Element x y z (fractional)
Au 0.0000 0.9935 0.0061  4 Co 2.75, 4 Cr 2.79, 4 Au 2.79-2.93
Au 0.0000 0.5065 0.4939  4 Co 2.75, 4 Cr 2.79, 4 Au 2.79-2.93
Co 0.5000 0.2500 0.2500  8 Au 2.75, 2 Cr 2.86, 2 Co 2.93
Cr 0.5000 0.7500 0.7500  8 Au 2.79, 2 Co 2.86, 2 Cr 2.93